# 1
A relaxed MnFe2Cu crystal, computed with PBE.

Cell: 5.0365 7.3637 2.5043 Å, 90.00 90.00 90.00°
With the nearest neighbours (Å) after each atom.
Space group Cmmm (No. 65)
One atom of each set of equivalent atoms:
Mn: 0.0000 0.0000 0.0000  2 Mn 2.50, 2 Cu 2.52, 8 Fe 2.56
Fe: 0.2500 0.2500 0.5000  4 Fe 2.50-2.52, 4 Mn 2.56, 4 Cu 2.56
Cu: 0.0000 0.5000 0.0000  2 Cu 2.50, 2 Mn 2.52, 8 Fe 2.56

## Properties
Uncorrected energy, eV/atom: -7.38
Size of the total moment, μB per formula unit: 1.982
Formation energy from the elements, eV per atom: 0.164


# 2
A relaxed AcNd2Te crystal, computed with PBE.

Cell: 4.1056 4.1056 30.6371 Å, 90.00 90.00 120.00°
With the nearest neighbours (Å) after each atom.
Space group R3m (No. 160, hexagonal axes)
One atom of each set of equivalent atoms:
Ac: 0.0000 0.0000 0.0000  6 Nd 3.84-3.86, 6 Ac 4.11
Nd: 0.0000 0.0000 0.5679  3 Te 3.14
Nd: 0.0000 0.0000 0.7662  3 Te 3.15
Te: 0.0000 0.0000 0.1672  6 Nd 3.14-3.15

## Properties
Uncorrected energy, eV/atom: -4.79
Size of the total moment, μB per formula unit: 0.001
Polymorph energy (0 for the lowest one), eV/f.u.: 0.14
ΔE_f (raw), kcal/mol of atoms: -13.73


# 3
A relaxed SmErNi4 crystal, computed with PBE.

Cell: 7.1916 7.1916 7.1916 Å, 90.00 90.00 90.00°
With the nearest neighbours (Å) after each atom.
Space group F-43m (No. 216)
One atom of each set of equivalent atoms:
Sm: 0.0000 0.0000 0.0000  12 Ni 2.98, 4 Er 3.11
Er: 0.2500 0.2500 0.7500  12 Ni 2.98, 4 Sm 3.11
Ni: 0.1244 0.1244 0.3756  6 Ni 2.53-2.56

## Properties
Uncorrected energy, eV/atom: -5.82
Size of the total moment, μB per formula unit: 0.000
Formation energy from the elements, eV per atom: -0.421


# 4
A relaxed La6ErTh crystal, computed with PBE.

Cell: 6.7156 6.8095 6.9589 Å, 60.77 88.33 87.12°
With the nearest neighbours (Å) after each atom.
Space group P-1 (No. 2)
One atom of each set of equivalent atoms:
La: 0.2270 0.4590 0.4994  3 La 3.07-3.14
La: 0.2575 0.4586 0.9492  4 La 3.14-3.48
La: 0.2566 0.9088 0.0500  4 La 3.14-3.48
Er: 0.5000 0.0000 0.5000  2 Th 3.36, 2 La 3.54
Th: 0.0000 0.0000 0.5000  2 Er 3.36, 2 La 3.54

## Properties
Uncorrected energy, eV/atom: -5.05
Size of the total moment, μB per formula unit: 0.001
Polymorph energy (0 for the lowest one), eV/f.u.: 0.91
Formation energy from the elements, eV per atom: 0.145


# 5
A relaxed DyNiTe crystal, computed with PBE.

Cell: 6.3476 6.3476 11.8230 Å, 90.00 90.00 120.00°
With the nearest neighbours (Å) after each atom.
Space group P6_222 (No. 180)
One atom of each set of equivalent atoms:
Dy: 0.0000 0.5000 0.3909  4 Ni 2.60-2.88
Ni: 0.2068 0.6034 0.1667  1 Ni 2.27
Te: 0.0000 0.0000 0.1667  4 Ni 3.37, 4 Dy 3.43, 4 Te 3.74
Te: 0.0000 0.5000 0.6667  4 Ni 3.00, 6 Dy 3.25-3.26

## Properties
Uncorrected energy, eV/atom: -4.91
Size of the total moment, μB per formula unit: 0.000
ΔE_f (raw), kcal/mol of atoms: -9.16


# 6
A relaxed MgTlIn2 crystal, computed with PBE.

Cell: 8.5206 8.5206 6.2056 Å, 90.00 90.00 90.00°
With the nearest neighbours (Å) after each atom.
Space group I-42d (No. 122)
One atom of each set of equivalent atoms:
Mg: 0.0000 0.0000 0.0000  4 In 3.03, 2 Tl 3.10
Tl: 0.0000 0.0000 0.5000  2 Mg 3.10, 4 In 3.20
In: 0.2354 0.2500 0.1250  2 Mg 3.03, 2 In 3.11, 2 Tl 3.20

## Properties
Uncorrected energy, eV/atom: -2.26
Size of the total moment, μB per formula unit: 0.000
Formation energy from the elements, eV per atom: 0.101